*P*
The following is a DFT calculation (PBE) of PdBr4Cl after structural relaxation.

Cell: 9.4065 9.4065 6.6058 Å, 96.48 96.48 129.28°
With the nearest neighbours (Å) after each atom.
Element x y z (fractional)
Pd: 0.0570 0.9430 0.7500  6 Br 2.50-2.64
Pd: 0.9430 0.0570 0.2500  6 Br 2.50-2.64
Br: 0.0186 0.3545 0.1684  1 Cl 2.45, 1 Pd 2.56
Br: 0.1292 0.2339 0.6201  2 Pd 2.50-2.64
Br: 0.2339 0.1292 0.1201  2 Pd 2.50-2.64
Br: 0.3545 0.0186 0.6684  1 Cl 2.45, 1 Pd 2.56
Br: 0.6455 0.9814 0.3316  1 Cl 2.45, 1 Pd 2.56
Br: 0.7661 0.8708 0.8799  2 Pd 2.50-2.64
Br: 0.8708 0.7661 0.3799  2 Pd 2.50-2.64
Br: 0.9814 0.6455 0.8316  1 Cl 2.45, 1 Pd 2.56
Cl: 0.3447 0.6553 0.2500  2 Br 2.45
Cl: 0.6553 0.3447 0.7500  2 Br 2.45

**DOS(E_F)**: 0.84 states/eV per atom

*Q*
The following is a DFT calculation (PBE) of PdBr4Cl after structural relaxation.

Cell: 12.5582 12.5582 4.9969 Å, 97.89 97.89 35.77°
With the nearest neighbours (Å) after each atom.
Element x y z (fractional)
Pd: 0.0528 0.0528 0.2776  4 Br 2.41-2.47
Pd: 0.9472 0.9472 0.7224  4 Br 2.41-2.47
Br: 0.1153 0.6743 0.9207  1 Pd 2.41
Br: 0.2194 0.7806 0.5000  2 Pd 2.47
Br: 0.2195 0.2195 0.2189  1 Cl 2.19
Br: 0.3257 0.8847 0.0793  1 Pd 2.41
Br: 0.6743 0.1153 0.9207  1 Pd 2.41
Br: 0.7805 0.7805 0.7811  1 Cl 2.19
Br: 0.7806 0.2194 0.5000  2 Pd 2.47
Br: 0.8847 0.3257 0.0793  1 Pd 2.41
Cl: 0.3096 0.3096 0.3838  1 Br 2.19
Cl: 0.6904 0.6904 0.6162  1 Br 2.19

**DOS(E_F)**: 0.98 states/eV per atom

Relative energies, in kJ/mol of atoms, with the most stable structure set to zero: *P* 0.0; *Q* 5.2.

*P*
The following is a DFT calculation (PBE) of PdBrCl3 after structural relaxation.

Cell: 6.0118 7.2946 6.1146 Å, 90.00 108.47 90.00°
With the nearest neighbours (Å) after each atom.
Element x y z (fractional)
Pd: 0.0010 0.2500 0.9999  5 Cl 2.40-2.46, 1 Br 2.56
Pd: 0.9990 0.7500 0.0001  5 Cl 2.40-2.46, 1 Br 2.56
Br: 0.4028 0.7500 0.3084  1 Cl 2.38, 1 Pd 2.56
Br: 0.5972 0.2500 0.6916  1 Cl 2.38, 1 Pd 2.56
Cl: 0.1348 0.5022 0.8166  2 Pd 2.40-2.42
Cl: 0.1348 0.9978 0.8166  2 Pd 2.40-2.42
Cl: 0.3934 0.2500 0.2877  1 Br 2.38, 1 Pd 2.46
Cl: 0.6066 0.7500 0.7123  1 Br 2.38, 1 Pd 2.46
Cl: 0.8652 0.0022 0.1834  2 Pd 2.40-2.42
Cl: 0.8652 0.4978 0.1834  2 Pd 2.40-2.42

**DOS(E_F)**: 0.53 states/eV per atom

*Q*
The following is a DFT calculation (PBE) of PdBrCl3 after structural relaxation.

Cell: 4.8725 4.8725 4.8725 Å, 90.00 90.00 90.00°
With the nearest neighbours (Å) after each atom.
Element x y z (fractional)
Pd: 0.0000 0.0000 0.0000  6 Cl 2.44
Br: 0.5000 0.5000 0.5000  12 Cl 3.45
Cl: 0.0000 0.0000 0.5000  2 Pd 2.44
Cl: 0.0000 0.5000 0.0000  2 Pd 2.44
Cl: 0.5000 0.0000 0.0000  2 Pd 2.44

**DOS(E_F)**: 1.90 states/eV per atom

*R*
The following is a DFT calculation (PBE) of PdBrCl3 after structural relaxation.

Cell: 6.4172 6.4192 8.2574 Å, 80.05 70.10 76.24°
With the nearest neighbours (Å) after each atom.
Element x y z (fractional)
Pd: 0.0000 0.0000 0.0000  5 Cl 2.30-2.43, 1 Br 2.52
Pd: 0.1280 0.4877 0.7717  4 Cl 2.31-2.34
Br: 0.0894 0.1282 0.2366  1 Br 2.48, 1 Pd 2.52
Br: 0.7489 0.3529 0.4196  1 Cl 2.47, 1 Br 2.48
Cl: 0.2182 0.6792 0.0705  1 Pd 2.30
Cl: 0.3156 0.1305 0.7787  2 Pd 2.32-2.43
Cl: 0.4491 0.6147 0.5987  1 Pd 2.31, 1 Br 2.47
Cl: 0.6748 0.9104 0.1978  1 Pd 2.30
Cl: 0.8004 0.3503 0.9268  2 Pd 2.34-2.40
Cl: 0.9313 0.8426 0.7802  2 Pd 2.33-2.43

Relative energies, in kJ/mol of atoms, with the most stable structure set to zero: *P* 9.5; *Q* 33.3; *R* 0.0.

*P*
The following is a DFT calculation (PBE) of PdBr2Cl2 after structural relaxation.

Cell: 6.3837 6.3837 8.1115 Å, 90.00 90.00 90.00°
With the nearest neighbours (Å) after each atom.
Element x y z (fractional)
Pd: 0.0000 0.0000 0.0000  4 Cl 2.35
Pd: 0.5000 0.5000 0.0000  4 Cl 2.35
Br: 0.1290 0.3710 0.5000  1 Br 2.33
Br: 0.3710 0.8710 0.5000  1 Br 2.33
Br: 0.6290 0.1290 0.5000  1 Br 2.33
Br: 0.8710 0.6290 0.5000  1 Br 2.33
Cl: 0.1758 0.6758 0.0000  2 Pd 2.35
Cl: 0.3242 0.1758 0.0000  2 Pd 2.35
Cl: 0.6758 0.8242 0.0000  2 Pd 2.35
Cl: 0.8242 0.3242 0.0000  2 Pd 2.35

**DOS(E_F)**: 0.85 states/eV per atom

*Q*
The following is a DFT calculation (PBE) of PdBr2Cl2 after structural relaxation.

Cell: 8.1426 8.1426 8.1426 Å, 115.24 86.56 129.32°
With the nearest neighbours (Å) after each atom.
Element x y z (fractional)
Pd: 0.2500 0.2500 0.0000  4 Cl 2.34
Pd: 0.7500 0.7500 0.0000  4 Cl 2.34
Br: 0.0499 0.6144 0.6643  1 Br 2.32
Br: 0.4501 0.1144 0.5645  1 Br 2.32
Br: 0.5499 0.8856 0.4355  1 Br 2.32
Br: 0.9501 0.3856 0.3357  1 Br 2.32
Cl: 0.1322 0.9953 0.1275  2 Pd 2.34
Cl: 0.3678 0.4953 0.8632  2 Pd 2.34
Cl: 0.6322 0.5047 0.1368  2 Pd 2.34
Cl: 0.8678 0.0047 0.8725  2 Pd 2.34

Relative energies, in kJ/mol of atoms, with the most stable structure set to zero: *P* 9.5; *Q* 0.0.

*P*
The following is a DFT calculation (PBE) of PdBr2Cl after structural relaxation.

Cell: 6.5874 6.1598 10.7546 Å, 90.00 90.00 90.00°
With the nearest neighbours (Å) after each atom.
Element x y z (fractional)
Pd: 0.2500 0.0000 0.0921  2 Cl 2.46, 4 Br 2.50-2.61
Pd: 0.2500 0.5000 0.4079  2 Cl 2.46, 4 Br 2.50-2.61
Pd: 0.7500 0.0000 0.9079  2 Cl 2.46, 4 Br 2.50-2.61
Pd: 0.7500 0.5000 0.5921  2 Cl 2.46, 4 Br 2.50-2.61
Br: 0.0678 0.2220 0.9185  2 Pd 2.50-2.61
Br: 0.0678 0.2780 0.5815  2 Pd 2.50-2.61
Br: 0.4322 0.7220 0.5815  2 Pd 2.50-2.61
Br: 0.4322 0.7780 0.9185  2 Pd 2.50-2.61
Br: 0.5678 0.2220 0.0815  2 Pd 2.50-2.61
Br: 0.5678 0.2780 0.4185  2 Pd 2.50-2.61
Br: 0.9322 0.7220 0.4185  2 Pd 2.50-2.61
Br: 0.9322 0.7780 0.0815  2 Pd 2.50-2.61
Cl: 0.1136 0.2500 0.2500  2 Pd 2.46
Cl: 0.3864 0.7500 0.2500  2 Pd 2.46
Cl: 0.6136 0.2500 0.7500  2 Pd 2.46
Cl: 0.8864 0.7500 0.7500  2 Pd 2.46

**DOS(E_F)**: 0.72 states/eV per atom

*Q*
The following is a DFT calculation (PBE) of PdBr2Cl after structural relaxation.

Cell: 4.9211 4.9211 4.9211 Å, 60.00 60.00 60.00°
With the nearest neighbours (Å) after each atom.
Element x y z (fractional)
Pd: 0.0000 0.0000 0.0000  8 Br 3.01
Br: 0.2500 0.2500 0.2500  4 Cl 3.01, 4 Pd 3.01
Br: 0.7500 0.7500 0.7500  4 Cl 3.01, 4 Pd 3.01
Cl: 0.5000 0.5000 0.5000  8 Br 3.01

**DOS(E_F)**: 1.60 states/eV per atom

*R*
The following is a DFT calculation (PBE) of PdBr2Cl after structural relaxation.

Cell: 7.0902 7.0902 7.0902 Å, 97.06 97.06 138.96°
With the nearest neighbours (Å) after each atom.
Element x y z (fractional)
Pd: 0.0000 0.0000 0.0000  2 Cl 2.49, 4 Br 2.60
Pd: 0.7500 0.2500 0.5000  2 Cl 2.49, 4 Br 2.60
Br: 0.3750 0.2226 0.3476  2 Pd 2.60
Br: 0.7774 0.1250 0.1524  2 Pd 2.60
Br: 0.8750 0.0274 0.6524  2 Pd 2.60
Br: 0.9726 0.6250 0.8476  2 Pd 2.60
Cl: 0.2500 0.7500 0.5000  2 Pd 2.49
Cl: 0.5000 0.5000 0.0000  2 Pd 2.49

**DOS(E_F)**: 0.92 states/eV per atom

Relative energies, in kJ/mol of atoms, with the most stable structure set to zero: *P* 0.0; *Q* 73.3; *R* 20.6.

*P*
The following is a DFT calculation (PBE) of PdSBrCl2 after structural relaxation.

Cell: 4.8228 4.8228 4.8116 Å, 90.00 90.00 90.00°
With the nearest neighbours (Å) after each atom.
Element x y z (fractional)
Pd: 0.0000 0.0000 0.0000  2 S 2.41, 4 Cl 2.41
S: 0.0000 0.0000 0.5000  2 Pd 2.41
Br: 0.5000 0.5000 0.5000  8 Cl 3.41, 4 S 3.41
Cl: 0.0000 0.5000 0.0000  2 Pd 2.41
Cl: 0.5000 0.0000 0.0000  2 Pd 2.41

**DOS(E_F)**: 1.46 states/eV per atom

*Q*
The following is a DFT calculation (PBE) of PdSBrCl2 after structural relaxation.

Cell: 4.6553 4.6553 5.5379 Å, 90.00 90.00 90.00°
With the nearest neighbours (Å) after each atom.
Element x y z (fractional)
Pd: 0.0000 0.0000 0.0000  4 Br 3.29, 8 Cl 3.62
S: 0.5000 0.5000 0.5000  4 Cl 2.33
Br: 0.5000 0.5000 0.0000  2 S 2.77
Cl: 0.0000 0.5000 0.5000  2 S 2.33
Cl: 0.5000 0.0000 0.5000  2 S 2.33

**DOS(E_F)**: 0.94 states/eV per atom

Relative energies, in kJ/mol of atoms, with the most stable structure set to zero: *P* 0.0; *Q* 19.8.

*P*
The following is a DFT calculation (PBE) of PdS2BrCl after structural relaxation.

Cell: 4.7538 4.7538 4.8123 Å, 90.00 90.00 90.00°
With the nearest neighbours (Å) after each atom.
Element x y z (fractional)
Pd: 0.0000 0.0000 0.0000  4 S 2.38, 2 Cl 2.41
S: 0.0000 0.5000 0.0000  2 Pd 2.38
S: 0.5000 0.0000 0.0000  2 Pd 2.38
Br: 0.5000 0.5000 0.5000  4 Cl 3.36, 8 S 3.38
Cl: 0.0000 0.0000 0.5000  2 Pd 2.41

**DOS(E_F)**: 1.20 states/eV per atom

*Q*
The following is a DFT calculation (PBE) of PdS2BrCl after structural relaxation.

Cell: 4.8613 4.8613 5.1046 Å, 90.00 90.00 90.00°
With the nearest neighbours (Å) after each atom.
Element x y z (fractional)
Pd: 0.0000 0.0000 0.0000  4 Cl 3.44, 8 S 3.52
S: 0.0000 0.5000 0.5000  2 Br 2.43
S: 0.5000 0.0000 0.5000  2 Br 2.43
Br: 0.5000 0.5000 0.5000  4 S 2.43, 2 Cl 2.55
Cl: 0.5000 0.5000 0.0000  2 Br 2.55

**DOS(E_F)**: 1.33 states/eV per atom

Relative energies, in kJ/mol of atoms, with the most stable structure set to zero: *P* 0.0; *Q* 60.8.

*P*
The following is a DFT calculation (PBE) of PdSeBr2Cl after structural relaxation.

Cell: 5.1485 5.1485 4.9884 Å, 90.00 90.00 90.00°
With the nearest neighbours (Å) after each atom.
Element x y z (fractional)
Pd: 0.0000 0.0000 0.0000  2 Se 2.49, 4 Br 2.57
Se: 0.0000 0.0000 0.5000  2 Pd 2.49
Br: 0.0000 0.5000 0.0000  2 Pd 2.57
Br: 0.5000 0.0000 0.0000  2 Pd 2.57
Cl: 0.5000 0.5000 0.5000  8 Br 3.58, 4 Se 3.64

**DOS(E_F)**: 1.61 states/eV per atom

*Q*
The following is a DFT calculation (PBE) of PdSeBr2Cl after structural relaxation.

Cell: 5.2295 5.2295 5.0303 Å, 90.00 90.00 90.00°
With the nearest neighbours (Å) after each atom.
Element x y z (fractional)
Pd: 0.0000 0.0000 0.0000  8 Br 3.63, 4 Se 3.70
Se: 0.5000 0.5000 0.0000  2 Cl 2.52
Br: 0.0000 0.5000 0.5000  2 Cl 2.61
Br: 0.5000 0.0000 0.5000  2 Cl 2.61
Cl: 0.5000 0.5000 0.5000  2 Se 2.52, 4 Br 2.61

**DOS(E_F)**: 1.09 states/eV per atom

Relative energies, in kJ/mol of atoms, with the most stable structure set to zero: *P* 0.0; *Q* 57.9.

*P*
The following is a DFT calculation (PBE) of ZrPd2BrCl after structural relaxation.

Cell: 4.6247 4.6247 6.0353 Å, 90.00 90.00 90.00°
With the nearest neighbours (Å) after each atom.
Element x y z (fractional)
Zr: 0.0000 0.0000 0.0000  4 Cl 3.27
Pd: 0.0000 0.5000 0.5000  2 Br 2.31
Pd: 0.5000 0.0000 0.5000  2 Br 2.31
Br: 0.5000 0.5000 0.5000  4 Pd 2.31
Cl: 0.5000 0.5000 0.0000  2 Br 3.02, 4 Zr 3.27

**DOS(E_F)**: 1.11 states/eV per atom

*Q*
The following is a DFT calculation (PBE) of ZrPd2BrCl after structural relaxation.

Cell: 4.7470 4.7470 5.1883 Å, 90.00 90.00 90.00°
With the nearest neighbours (Å) after each atom.
Element x y z (fractional)
Zr: 0.0000 0.0000 0.0000  2 Br 2.59
Pd: 0.0000 0.5000 0.5000  2 Br 2.37
Pd: 0.5000 0.0000 0.5000  2 Br 2.37
Br: 0.0000 0.0000 0.5000  4 Pd 2.37, 2 Zr 2.59
Cl: 0.5000 0.5000 0.0000  4 Zr 3.36, 8 Pd 3.52

**DOS(E_F)**: 0.66 states/eV per atom

Relative energies, in kJ/mol of atoms, with the most stable structure set to zero: *P* 23.0; *Q* 0.0.

*P*
The following is a DFT calculation (PBE) of Pm2BrCl after structural relaxation.

Cell: 9.3153 9.3153 9.3153 Å, 22.45 22.45 22.45°
With the nearest neighbours (Å) after each atom.
Element x y z (fractional)
Pm: 0.0000 0.0000 0.0000  3 Cl 3.02, 3 Br 3.16
Pm: 0.1592 0.1592 0.1592  3 Cl 3.01, 3 Br 3.17
Br: 0.5799 0.5799 0.5799  6 Pm 3.16-3.17
Cl: 0.4130 0.4130 0.4130  6 Pm 3.01-3.02

**DOS(E_F)**: 0.35 states/eV per atom

*Q*
The following is a DFT calculation (PBE) of Pm2BrCl after structural relaxation.

Cell: 9.3414 9.3414 9.3414 Å, 22.31 22.31 22.31°
With the nearest neighbours (Å) after each atom.
Element x y z (fractional)
Pm: 0.2471 0.2471 0.2471  3 Cl 3.03, 3 Br 3.15
Pm: 0.7529 0.7529 0.7529  3 Cl 3.03, 3 Br 3.15
Br: 0.0000 0.0000 0.0000  6 Pm 3.15
Cl: 0.5000 0.5000 0.5000  6 Pm 3.03

**DOS(E_F)**: 0.40 states/eV per atom

Relative energies, in kJ/mol of atoms, with the most stable structure set to zero: *P* 0.0; *Q* 0.9.

*P*
The following is a DFT calculation (PBE) of PmBrCl2 after structural relaxation.

Cell: 4.2041 5.4510 13.7808 Å, 90.00 98.77 90.00°
With the nearest neighbours (Å) after each atom.
Element x y z (fractional)
Pm: 0.1350 0.2500 0.2716  4 Cl 2.73-2.74, 2 Br 2.90
Pm: 0.8650 0.7500 0.7284  4 Cl 2.73-2.74, 2 Br 2.90
Br: 0.4383 0.7500 0.8750  2 Pm 2.90
Br: 0.5617 0.2500 0.1250  2 Pm 2.90
Cl: 0.1368 0.7500 0.2757  2 Pm 2.73
Cl: 0.3006 0.7500 0.5994  2 Pm 2.74
Cl: 0.6994 0.2500 0.4006  2 Pm 2.74
Cl: 0.8632 0.2500 0.7243  2 Pm 2.73

**DOS(E_F)**: 0.00 states/eV per atom

*Q*
The following is a DFT calculation (PBE) of PmBrCl2 after structural relaxation.

Cell: 7.3192 7.3192 8.7337 Å, 90.00 90.00 148.23°
With the nearest neighbours (Å) after each atom.
Element x y z (fractional)
Pm: 0.2401 0.7599 0.7500  6 Cl 2.87-2.98, 2 Br 2.89
Pm: 0.7599 0.2401 0.2500  6 Cl 2.87-2.98, 2 Br 2.89
Br: 0.4081 0.5919 0.2500  2 Pm 2.89
Br: 0.5919 0.4081 0.7500  2 Pm 2.89
Cl: 0.1658 0.8342 0.0697  3 Pm 2.87-2.98, 1 Cl 3.15
Cl: 0.1658 0.8342 0.4303  3 Pm 2.87-2.98, 1 Cl 3.15
Cl: 0.8342 0.1658 0.5697  3 Pm 2.87-2.98, 1 Cl 3.15
Cl: 0.8342 0.1658 0.9303  3 Pm 2.87-2.98, 1 Cl 3.15

**DOS(E_F)**: 0.00 states/eV per atom

Relative energies, in kJ/mol of atoms, with the most stable structure set to zero: *P* 2.5; *Q* 0.0.

*P*
The following is a DFT calculation (PBE) of Pm2Br3Cl after structural relaxation.

Cell: 8.6733 8.6733 12.8943 Å, 120.60 120.60 26.79°
With the nearest neighbours (Å) after each atom.
Element x y z (fractional)
Pm: 0.0956 0.0956 0.4558  2 Cl 2.92-2.95, 4 Br 2.94-2.99
Pm: 0.3406 0.3406 0.1199  2 Cl 2.91, 4 Br 2.99-3.01
Pm: 0.6594 0.6594 0.8801  2 Cl 2.91, 4 Br 2.99-3.01
Pm: 0.9044 0.9044 0.5442  2 Cl 2.92-2.95, 4 Br 2.94-2.99
Br: 0.1389 0.1389 0.0366  3 Pm 2.99
Br: 0.2636 0.2636 0.3922  2 Pm 2.94
Br: 0.4502 0.4502 0.7395  3 Pm 2.99-3.01
Br: 0.5498 0.5498 0.2605  3 Pm 2.99-3.01
Br: 0.7364 0.7364 0.6078  2 Pm 2.94
Br: 0.8611 0.8611 0.9634  3 Pm 2.99
Cl: 0.1071 0.1071 0.6923  4 Pm 2.91-2.95
Cl: 0.8929 0.8929 0.3077  4 Pm 2.91-2.95

**DOS(E_F)**: 0.36 states/eV per atom

*Q*
The following is a DFT calculation (PBE) of Pm2Br3Cl after structural relaxation.

Cell: 8.5044 8.5044 13.7222 Å, 111.80 111.80 26.89°
With the nearest neighbours (Å) after each atom.
Element x y z (fractional)
Pm: 0.2425 0.2425 0.3545  1 Cl 2.75, 5 Br 2.95-3.00
Pm: 0.2555 0.2555 0.8843  2 Cl 2.84, 4 Br 2.95-3.03
Pm: 0.7445 0.7445 0.1157  2 Cl 2.84, 4 Br 2.95-3.03
Pm: 0.7575 0.7575 0.6455  1 Cl 2.75, 5 Br 2.95-3.00
Br: 0.1213 0.1213 0.9775  3 Pm 2.95
Br: 0.1394 0.1394 0.4934  3 Pm 2.99-3.00
Br: 0.3850 0.3850 0.7771  3 Pm 2.95-3.03
Br: 0.6150 0.6150 0.2229  3 Pm 2.95-3.03
Br: 0.8606 0.8606 0.5066  3 Pm 2.99-3.00
Br: 0.8787 0.8787 0.0225  3 Pm 2.95
Cl: 0.3551 0.3551 0.2503  3 Pm 2.75-2.84
Cl: 0.6449 0.6449 0.7497  3 Pm 2.75-2.84

**DOS(E_F)**: 0.51 states/eV per atom

Relative energies, in kJ/mol of atoms, with the most stable structure set to zero: *P* 3.5; *Q* 0.0.